1.
VASP calculation (PBE) on a geometry-optimized DySi2Sn2Pt7 structure.

## Properties
- uncorrected formation energy (meV/atom) = -700

Structure (extended XYZ):
```
12
Lattice="2.791 -2.792 0.000 2.791 2.792 0.000 -2.742 0.000 15.181" Properties=species:S:1:pos:R:3 pbc="T T T"
Dy 0.000 0.000 0.000
Si 0.050 0.000 11.578
Si 2.789 0.000 3.604
Sn 0.016 0.000 6.415
Sn 2.823 0.000 8.767
Pt 1.393 1.396 2.237
Pt 0.030 0.000 9.239
Pt 1.446 1.396 12.944
Pt 2.791 0.000 0.000
Pt 1.393 -1.396 2.237
Pt 2.809 0.000 5.942
Pt 1.446 -1.396 12.944
```

---

2.
VASP calculation (PBE) on a geometry-optimized Hf3SbMo structure.

## Properties
- uncorrected formation energy (meV/atom) = -233
- energy relative to the lowest polymorph listed for this composition (meV per atom) = 0.0

Structure (extended XYZ):
```
10
Lattice="3.424 0.000 0.000 0.000 7.134 0.000 -0.013 -1.632 8.847" Properties=species:S:1:pos:R:3 pbc="T T T"
Hf 0.850 -0.267 1.965
Hf 0.850 3.803 1.963
Hf 0.850 3.786 5.138
Hf 2.561 1.716 3.709
Hf 2.561 1.699 6.884
Hf 2.561 5.769 6.882
Sb 0.849 3.711 8.239
Sb 2.562 1.791 0.608
Mo 0.849 0.066 5.197
Mo 2.562 5.437 3.650
```

---

3.
VASP calculation (PBE) on a geometry-optimized Al2PtPb structure.

## Properties
- E_form (eV per atom) = 0.09

Structure (extended XYZ):
```
4
Lattice="0.000 3.396 3.396 3.396 0.000 3.396 3.396 3.396 0.000" Properties=species:S:1:pos:R:3 pbc="T T T"
Al 0.000 0.000 0.000
Al 1.698 1.698 1.698
Pt 3.396 3.396 3.396
Pb 5.094 5.094 5.094
```

---

4.
VASP calculation (PBE) on a geometry-optimized Y2PuS3 structure.

## Properties
- uncorrected formation energy (meV/atom) = -1952

Structure (extended XYZ):
```
6
Lattice="-1.963 2.773 5.911 1.963 -2.773 5.911 1.963 2.773 -5.911" Properties=species:S:1:pos:R:3 pbc="T T T"
Y 0.000 0.000 1.980
Y 0.000 0.000 9.841
Pu 0.000 0.000 5.911
S 1.963 0.000 0.000
S 1.963 0.000 3.930
S 0.000 2.773 1.981
```

---

5.
VASP calculation (PBE) on a geometry-optimized ZrTaGaCu2 structure.

## Properties
- E_form (eV per atom) = 0.57

Structure (extended XYZ):
```
5
Lattice="4.369 0.000 0.000 0.000 4.369 0.000 0.000 0.000 4.903" Properties=species:S:1:pos:R:3 pbc="T T T"
Zr 0.000 0.000 0.000
Ta 2.185 2.185 0.000
Ga 2.185 2.185 2.452
Cu 0.000 2.185 2.452
Cu 2.185 0.000 2.452
```

---

6.
VASP calculation (PBE) on a geometry-optimized Zr6CuOs2 structure.

## Properties
- E_form (eV per atom) = -0.15

Structure (extended XYZ):
```
9
Lattice="6.052 -2.031 0.000 6.052 2.031 0.000 -5.062 0.000 7.613" Properties=species:S:1:pos:R:3 pbc="T T T"
Zr -0.691 0.000 1.418
Zr -1.008 0.000 6.678
Zr 1.644 0.000 3.705
Zr 5.398 0.000 3.908
Zr 8.050 0.000 0.935
Zr 7.734 0.000 6.196
Cu -2.531 0.000 3.807
Os 3.595 0.000 1.802
Os 3.447 0.000 5.811
```

---

Sequential energy output: -74.1 -92.0 -16.9 -51.4 -28.8 -79.2 eV for the cell shown